{"formula": "Pr4GaAgO", "functional": "PBE-GGA", "state": "relaxed", "raw_formation_energy_kj_per_mol_fu": -653, "dos_at_fermi_per_ev_fu": 2.75, "lattice": [[3.5048, -7.6222, 0.0000], [3.5048, 7.6222, 0.0000], [0.0000, 0.0000, 7.0175]], "species": ["Pr", "Pr", "Pr", "Pr", "Pr", "Pr", "Pr", "Pr", "Ga", "Ga", "Ag", "Ag", "O", "O"], "fractional_positions": [[0.0000, 0.5000, 0.0000], [0.0000, 0.5000, 0.5000], [0.0686, 0.9314, 0.7500], [0.4304, 0.5696, 0.7500], [0.5000, 0.0000, 0.0000], [0.5000, 0.0000, 0.5000], [0.5696, 0.4304, 0.2500], [0.9314, 0.0686, 0.2500], [0.1270, 0.8730, 0.2500], [0.8730, 0.1270, 0.7500], [0.3794, 0.6206, 0.2500], [0.6206, 0.3794, 0.7500], [0.2478, 0.7522, 0.7500], [0.7522, 0.2478, 0.2500]]}



{"formula": "SnGeS", "functional": "PBE-GGA", "state": "relaxed", "raw_formation_energy_kj_per_mol_fu": -36, "dos_at_fermi_per_ev_fu": 1.09, "lattice": [[4.2525, 0.0000, 0.0000], [0.0000, 3.7660, 0.0000], [-2.0877, 0.0000, 9.0246]], "species": ["Sn", "Sn", "Ge", "Ge", "S", "S"], "fractional_positions": [[0.0000, 0.0000, 0.0000], [0.4817, 0.5000, 0.6149], [0.7592, 0.0000, 0.2741], [0.9587, 0.0000, 0.5587], [0.3935, 0.5000, 0.2633], [0.5621, 0.5000, 0.8989]]}



{"formula": "Rb4Cd2Au5", "functional": "PBE-GGA", "state": "relaxed", "formation_energy_mev_per_atom": -164.0, "dos_at_fermi_per_ev_fu": 3.28, "lattice": [[-5.0910, 11.3819, 2.9373], [5.0910, -11.3819, 2.9373], [5.0910, 11.3819, -2.9373]], "species": ["Rb", "Rb", "Rb", "Rb", "Rb", "Rb", "Rb", "Rb", "Cd", "Cd", "Cd", "Cd", "Au", "Au", "Au", "Au", "Au", "Au", "Au", "Au", "Au", "Au"], "fractional_positions": [[0.0534, 0.7133, 0.7666], [0.1446, 0.1163, 0.2609], [0.3554, 0.6163, 0.9717], [0.4466, 0.2133, 0.6599], [0.5534, 0.7867, 0.3401], [0.6446, 0.3837, 0.0283], [0.8554, 0.8837, 0.7391], [0.9466, 0.2867, 0.2334], [0.0377, 0.7500, 0.2877], [0.4623, 0.7500, 0.7123], [0.5377, 0.2500, 0.2877], [0.9623, 0.2500, 0.7123], [0.1059, 0.4263, 0.5322], [0.2306, 0.7819, 0.0125], [0.2500, 0.2500, 0.0000], [0.2694, 0.2819, 0.5513], [0.3941, 0.9263, 0.3204], [0.6059, 0.0737, 0.6796], [0.7306, 0.7181, 0.4487], [0.7500, 0.7500, 0.0000], [0.7694, 0.2181, 0.9875], [0.8941, 0.5737, 0.4678]]}